First-principles (GGA+U) data for a relaxed structure of Li6MnCrP2C2O14, as listed in Alexandria via LeMat-Bulk.

Fermi-level density of states, states/eV per cell: 0.00
VASP energy, eV per atom: -6.85
V, Å³/cell: 282

Lattice parameters (Å, degrees): 6.4954 5.0230 8.7031 83.67 90.00 90.00
Fractional positions:
O (0.0000, 0.5771, 0.5797)
P (0.5000, 0.7460, 0.4055)
O (0.1861, 0.1506, 0.6931)
Mn (0.0000, 0.7833, 0.3408)
O (0.5000, 0.4933, 0.8298)
Li (0.2724, 0.2801, 0.2677)
O (0.0000, 0.9121, 0.0615)
O (0.5000, 0.4358, 0.4144)
O (0.5000, 0.0769, 0.9483)
Li (0.7703, 0.7164, 0.7321)
Li (0.2297, 0.7164, 0.7321)
P (0.0000, 0.2638, 0.5924)
O (0.5000, 0.8311, 0.5709)
Li (0.5000, 0.8064, 0.1115)
Cr (0.5000, 0.1975, 0.6664)
Li (0.0000, 0.1913, 0.8957)
O (0.0000, 0.1788, 0.4285)
O (0.5000, 0.4234, 0.0926)
O (0.0000, 0.5864, 0.9016)
Li (0.7276, 0.2801, 0.2677)
O (0.0000, 0.4842, 0.1621)
C (0.5000, 0.3291, 0.9597)
C (0.0000, 0.6629, 0.0399)
O (0.3141, 0.8633, 0.3065)
O (0.8139, 0.1506, 0.6931)
O (0.6859, 0.8633, 0.3065)